The following is a DFT calculation (PBE) of a relaxed LiCeBi crystal.

Cell and atoms, written as extended XYZ:
```
3
Lattice="0.000 3.412 3.412 3.412 0.000 3.412 3.412 3.412 0.000" Properties=species:S:1:pos:R:3 pbc="T T T"
Li 0.000 0.000 0.000
Ce 1.706 1.706 1.706
Bi 5.118 5.118 5.118
```

Values from the calculation:
ΔE to the lowest computed polymorph, eV per atom: 0.190
E_form, meV per atom: -399

***

The following is a DFT calculation (PBE) of a relaxed LiCe2Bi3 crystal.

Cell and atoms, written as extended XYZ:
```
6
Lattice="-2.081 2.588 8.631 2.081 -2.588 8.631 2.081 2.588 -8.631" Properties=species:S:1:pos:R:3 pbc="T T T"
Li 0.000 0.000 0.000
Ce 0.000 0.000 6.137
Ce 0.000 0.000 11.124
Bi 0.000 0.000 2.918
Bi 0.000 2.588 0.000
Bi 0.000 0.000 14.343
```

Values from the calculation:
E_form, meV per atom: -518

***

The following is a DFT calculation (PBE) of a relaxed LiCeBi crystal.

Cell and atoms, written as extended XYZ:
```
6
Lattice="4.475 0.000 0.000 0.000 4.475 0.000 0.000 0.000 8.094" Properties=species:S:1:pos:R:3 pbc="T T T"
Li 1.119 3.356 0.000
Li 3.356 1.119 0.000
Ce 1.119 1.119 2.918
Ce 3.356 3.356 5.176
Bi 1.119 1.119 6.267
Bi 3.356 3.356 1.827
```

Values from the calculation:
ΔE to the lowest computed polymorph, eV per atom: 0.000
E_form, meV per atom: -589

***

The following is a DFT calculation (PBE) of a relaxed LiCeBi crystal.

Cell and atoms, written as extended XYZ:
```
3
Lattice="4.633 0.000 0.000 -2.317 4.013 0.000 0.000 0.000 4.330" Properties=species:S:1:pos:R:3 pbc="T T T"
Li 0.000 0.000 0.000
Ce 0.000 2.675 2.170
Bi 2.317 1.338 0.007
```

Values from the calculation:
ΔE to the lowest computed polymorph, eV per atom: 0.040
E_form, meV per atom: -550

***

The following is a DFT calculation (PBE) of a relaxed LiCeBi2 crystal.

Cell and atoms, written as extended XYZ:
```
4
Lattice="5.068 0.000 0.000 0.000 5.068 0.000 0.000 0.000 4.301" Properties=species:S:1:pos:R:3 pbc="T T T"
Li 0.000 0.000 0.000
Ce 2.534 2.534 0.000
Bi 0.000 2.534 2.150
Bi 2.534 0.000 2.150
```

Values from the calculation:
ΔE to the lowest computed polymorph, eV per atom: 0.068
E_form, meV per atom: -564

***

The following is a DFT calculation (PBE) of a relaxed LiCe2Bi crystal.

Cell and atoms, written as extended XYZ:
```
4
Lattice="1.650 0.952 12.301 -1.650 0.952 12.301 0.000 -1.905 12.301" Properties=species:S:1:pos:R:3 pbc="T T T"
Li 0.000 0.000 0.000
Ce 0.000 0.000 3.278
Ce 0.000 0.000 33.627
Bi 0.000 0.000 18.452
```

Values from the calculation:
ΔE to the lowest computed polymorph, eV per atom: 0.435
E_form, meV per atom: 82

***

The following is a DFT calculation (PBE) of a relaxed Li2CeBi2 crystal.

Cell and atoms, written as extended XYZ:
```
5
Lattice="4.673 0.000 0.000 -2.337 4.047 0.000 0.000 0.000 7.462" Properties=species:S:1:pos:R:3 pbc="T T T"
Li 0.000 2.698 2.768
Li 2.337 1.349 4.694
Ce 0.000 0.000 0.000
Bi 0.000 2.698 5.719
Bi 2.337 1.349 1.743
```

Values from the calculation:
E_form, meV per atom: -582

***

The following is a DFT calculation (PBE) of a relaxed LiCeBi2 crystal.

Cell and atoms, written as extended XYZ:
```
8
Lattice="4.524 0.000 0.000 0.000 4.524 0.000 0.000 0.000 10.812" Properties=species:S:1:pos:R:3 pbc="T T T"
Li 1.131 3.393 0.000
Li 3.393 1.131 0.000
Ce 1.131 1.131 2.838
Ce 3.393 3.393 7.974
Bi 1.131 1.131 8.992
Bi 1.131 3.393 5.406
Bi 3.393 1.131 5.406
Bi 3.393 3.393 1.819
```

Values from the calculation:
ΔE to the lowest computed polymorph, eV per atom: 0.000
E_form, meV per atom: -632

***

The following is a DFT calculation (PBE) of a relaxed LiCeBi crystal.

Cell and atoms, written as extended XYZ:
```
6
Lattice="-2.231 2.231 8.368 2.231 -2.231 8.368 2.231 2.231 -8.368" Properties=species:S:1:pos:R:3 pbc="T T T"
Li 2.231 0.000 0.000
Li 0.000 2.231 0.000
Ce 0.000 0.000 2.955
Ce 0.000 0.000 13.782
Bi 0.000 0.000 6.305
Bi 0.000 0.000 10.431
```

Values from the calculation:
ΔE to the lowest computed polymorph, eV per atom: 0.027
E_form, meV per atom: -562

***

The following is a DFT calculation (PBE) of a relaxed Li4CeBi2 crystal.

Cell and atoms, written as extended XYZ:
```
14
Lattice="8.399 0.000 0.000 0.000 8.399 0.000 0.000 0.000 4.631" Properties=species:S:1:pos:R:3 pbc="T T T"
Li 0.833 2.878 0.000
Li 1.322 5.032 2.316
Li 2.878 0.833 0.000
Li 3.366 7.077 2.316
Li 5.032 1.322 2.316
Li 5.521 7.565 0.000
Li 7.077 3.366 2.316
Li 7.565 5.521 0.000
Ce 0.000 0.000 2.316
Ce 4.199 4.199 0.000
Bi 1.779 6.619 0.000
Bi 2.420 2.420 2.316
Bi 5.979 5.979 2.316
Bi 6.619 1.779 0.000
```

Values from the calculation:
E_form, meV per atom: -527

***

The following is a DFT calculation (PBE) of a relaxed LiCe2Bi2N crystal.

Cell and atoms, written as extended XYZ:
```
12
Lattice="-4.140 6.264 3.015 4.140 -6.264 3.015 4.140 6.264 -3.015" Properties=species:S:1:pos:R:3 pbc="T T T"
Li 0.000 0.000 1.507
Li 0.000 0.000 4.522
Ce 5.396 1.207 0.000
Ce 1.256 5.057 0.000
Ce 2.883 1.207 3.015
Ce -1.256 5.057 3.015
Bi 1.470 1.819 0.000
Bi 1.470 -1.819 3.015
Bi 2.670 8.083 0.000
Bi 2.670 4.444 3.015
N 4.140 0.000 1.507
N 0.000 6.264 1.507
```

Values from the calculation:
E, eV per cell: -69.912

***

The following is a DFT calculation (PBE) of a relaxed LiCeBiN crystal.

Cell and atoms, written as extended XYZ:
```
4
Lattice="-1.672 1.672 7.277 1.672 -1.672 7.277 1.672 1.672 -7.277" Properties=species:S:1:pos:R:3 pbc="T T T"
Li 0.000 0.000 0.000
Ce 0.000 0.000 4.751
Bi 0.000 0.000 9.122
N 0.000 0.000 12.589
```

Values from the calculation:
E, eV per cell: -23.294